Version 1
This record from Alexandria describes an optimized crystal structure of Rb2NiPt. The functional is PBE-GGA.

Unit cell a=7.9647 b=7.9647 c=7.9647 alpha=90.00 beta=90.00 gamma=90.00
With the nearest neighbours (Å) after each atom.
Fractional positions:
Rb 0.2500 0.2500 0.2500  4 Ni 3.45, 4 Pt 3.45
Rb 0.2500 0.2500 0.7500  4 Ni 3.45, 4 Pt 3.45
Rb 0.2500 0.7500 0.2500  4 Ni 3.45, 4 Pt 3.45
Rb 0.2500 0.7500 0.7500  4 Ni 3.45, 4 Pt 3.45
Rb 0.7500 0.2500 0.2500  4 Ni 3.45, 4 Pt 3.45
Rb 0.7500 0.2500 0.7500  4 Ni 3.45, 4 Pt 3.45
Rb 0.7500 0.7500 0.2500  4 Ni 3.45, 4 Pt 3.45
Rb 0.7500 0.7500 0.7500  4 Ni 3.45, 4 Pt 3.45
Ni 0.0000 0.0000 0.0000  8 Rb 3.45
Ni 0.0000 0.5000 0.5000  8 Rb 3.45
Ni 0.5000 0.0000 0.5000  8 Rb 3.45
Ni 0.5000 0.5000 0.0000  8 Rb 3.45
Pt 0.0000 0.0000 0.5000  8 Rb 3.45
Pt 0.0000 0.5000 0.0000  8 Rb 3.45
Pt 0.5000 0.0000 0.0000  8 Rb 3.45
Pt 0.5000 0.5000 0.5000  8 Rb 3.45

## Properties
As for the space group: No. 225. The calculation puts the magnetization at 1.3 μB per formula unit.

Version 2
This record from Alexandria describes an optimized crystal structure of Rb2NiPt. The functional is PBE-GGA.

Unit cell a=12.4129 b=12.4129 c=4.6514 alpha=90.00 beta=90.00 gamma=90.00
With the nearest neighbours (Å) after each atom.
Fractional positions:
Rb 0.0393 0.2500 0.1250  2 Ni 3.19
Rb 0.2500 0.5393 0.3750  2 Ni 3.19
Rb 0.2500 0.9607 0.8750  2 Ni 3.19
Rb 0.4607 0.2500 0.6250  2 Ni 3.19
Rb 0.5393 0.7500 0.6250  2 Ni 3.19
Rb 0.7500 0.0393 0.8750  2 Ni 3.19
Rb 0.7500 0.4607 0.3750  2 Ni 3.19
Rb 0.9607 0.7500 0.1250  2 Ni 3.19
Ni 0.0000 0.0000 0.0000  2 Pt 2.33
Ni 0.0000 0.5000 0.2500  2 Pt 2.33
Ni 0.5000 0.0000 0.7500  2 Pt 2.33
Ni 0.5000 0.5000 0.5000  2 Pt 2.33
Pt 0.0000 0.0000 0.5000  2 Ni 2.33
Pt 0.0000 0.5000 0.7500  2 Ni 2.33
Pt 0.5000 0.0000 0.2500  2 Ni 2.33
Pt 0.5000 0.5000 0.0000  2 Ni 2.33

## Properties
As for the space group: No. 122. The calculation puts the magnetization at 0.0 μB per formula unit.

Stability, highest: version 2

Version 1
This record from Alexandria describes an optimized crystal structure of RbNi2Pt2. The functional is PBE-GGA.

Unit cell a=7.9229 b=7.9229 c=2.7345 alpha=90.00 beta=90.00 gamma=90.00
With the nearest neighbours (Å) after each atom.
Fractional positions:
Rb 0.0000 0.0000 0.0000  2 Rb 2.73
Rb 0.5000 0.5000 0.0000  2 Rb 2.73
Ni 0.1148 0.3852 0.0000  3 Ni 2.57-2.73, 6 Pt 2.69-2.75
Ni 0.3852 0.8852 0.0000  3 Ni 2.57-2.73, 6 Pt 2.69-2.75
Ni 0.6148 0.1148 0.0000  3 Ni 2.57-2.73, 6 Pt 2.69-2.75
Ni 0.8852 0.6148 0.0000  3 Ni 2.57-2.73, 6 Pt 2.69-2.75
Pt 0.1718 0.6718 0.5000  6 Ni 2.69-2.75, 2 Pt 2.73
Pt 0.3282 0.1718 0.5000  6 Ni 2.69-2.75, 2 Pt 2.73
Pt 0.6718 0.8282 0.5000  6 Ni 2.69-2.75, 2 Pt 2.73
Pt 0.8282 0.3282 0.5000  6 Ni 2.69-2.75, 2 Pt 2.73

## Properties
As for the space group: No. 127. The calculation puts the magnetization at 2.0 μB per formula unit.

Version 2
This record from Alexandria describes an optimized crystal structure of RbNi2Pt2. The functional is PBE-GGA.

Unit cell a=4.5770 b=4.5770 c=11.5336 alpha=90.00 beta=90.00 gamma=90.00
With the nearest neighbours (Å) after each atom.
Fractional positions:
Rb 0.0000 0.0000 0.0000  10 Ni 3.62-3.89, 8 Pt 3.68
Rb 0.5000 0.5000 0.5000  10 Ni 3.62-3.89, 8 Pt 3.68
Ni 0.0000 0.0000 0.3136  4 Pt 2.40
Ni 0.0000 0.0000 0.6864  4 Pt 2.40
Ni 0.5000 0.5000 0.1864  4 Pt 2.40
Ni 0.5000 0.5000 0.8136  4 Pt 2.40
Pt 0.0000 0.5000 0.2500  4 Ni 2.40
Pt 0.0000 0.5000 0.7500  4 Ni 2.40
Pt 0.5000 0.0000 0.2500  4 Ni 2.40
Pt 0.5000 0.0000 0.7500  4 Ni 2.40

## Properties
As for the space group: No. 139. The calculation puts the magnetization at 1.0 μB per formula unit.

Stability, highest: version 1